Compound: K6Rb2TlH
Source: Alexandria via LeMat-Bulk
Functional: PBE
Structure: relaxed

The structure belongs to space group C2/m (No. 12); the cell edges are 13.198, 13.201 and 9.337 Å and the angles 90.00°, 134.92° and 90.00°. The inequivalent atoms are K at (0.000, 0.231, 0.000), K at (0.231, 0.000, 0.000), K at (0.232, 0.000, 0.464), Rb at (0.000, 0.250, 0.500), Tl at (0.000, 0.500, 0.000) and H at (0.000, 0.000, 0.000).

Its total energy is -1.418 eV per atom. As for the magnetic moment: 0.0 μB/f.u. The value obtained for the density of states at the Fermi level is 10.26 states/eV per cell.

***

Compound: KRb2UH6
Source: Alexandria via LeMat-Bulk
Functional: PBE
Structure: relaxed

The structure belongs to space group Fm-3m (No. 225); the cell edges are 9.582, 9.582 and 9.582 Å and the angles 90.00°, 90.00° and 90.00°. The inequivalent atoms are K at (0.000, 0.000, 0.000), Rb at (0.250, 0.250, 0.250), U at (0.000, 0.000, 0.500) and H at (0.000, 0.000, 0.266).

Its total energy is -3.394 eV per atom. As for the magnetic moment: 3.0 μB/f.u. The value obtained for the density of states at the Fermi level is 47.60 states/eV per cell.

***

Compound: KRb2ZnH5
Source: Alexandria via LeMat-Bulk
Functional: PBE
Structure: relaxed

The structure belongs to space group P4/mbm (No. 127); the cell edges are 7.497, 7.497 and 6.342 Å and the angles 90.00°, 90.00° and 90.00°. The inequivalent atoms are K at (0.000, 0.000, 0.000), Rb at (0.170, 0.330, 0.500), Zn at (0.000, 0.500, 0.000), H at (0.000, 0.000, 0.500) and H at (0.120, 0.620, 0.197).

Its total energy is -2.364 eV per atom. As for the magnetic moment: 0.0 μB/f.u.

***

Compound: K2RbZnH
Source: Alexandria via LeMat-Bulk
Functional: PBE
Structure: relaxed

The structure belongs to space group P4/mmm (No. 123); the cell edges are 7.515, 7.515 and 4.828 Å and the angles 90.00°, 90.00° and 90.00°. The inequivalent atoms are K at (0.000, 0.500, 0.000), Rb at (0.000, 0.000, 0.000), Zn at (0.500, 0.500, 0.500) and H at (0.000, 0.000, 0.500).

As for the magnetic moment: 0.0 μB/f.u. The value obtained for the density of states at the Fermi level is 5.97 states/eV per cell. Its energy above the most stable polymorph in this dataset is 345 meV/atom.

***

Compound: K2RbZnH
Source: Alexandria via LeMat-Bulk
Functional: PBE
Structure: relaxed

The structure belongs to space group P4/mmm (No. 123); the cell edges are 5.575, 5.575 and 5.896 Å and the angles 90.00°, 90.00° and 90.00°. The inequivalent atoms are K at (0.000, 0.500, 0.000), Rb at (0.000, 0.000, 0.500), Zn at (0.500, 0.500, 0.500) and H at (0.000, 0.000, 0.000).

As for the magnetic moment: 0.5 μB/f.u. The value obtained for the density of states at the Fermi level is 3.90 states/eV per cell. Its energy above the most stable polymorph in this dataset is 0 meV/atom.

***

Compound: K3RbZn4H12
Source: Alexandria via LeMat-Bulk
Functional: PBE
Structure: relaxed

The structure belongs to space group R32 (No. 155, hexagonal axes); the cell edges are 11.9922, 11.9922 and 9.3914 Å and the angles 90.00°, 90.00° and 120.00°. The inequivalent atoms are K at (0.0000, 0.5379, 0.0000), Rb at (0.0000, 0.0000, 0.0000), Zn at (0.0000, 0.0000, 0.5000), Zn at (0.0000, 0.4539, 0.5000), H at (0.0000, 0.5884, 0.5000), H at (0.0000, 0.8660, 0.5000) and H at (0.0114, 0.2087, 0.1630).

Its total energy is -2.566 eV per atom. As for the magnetic moment: 0.0 μB/f.u. The value obtained for the density of states at the Fermi level is 0.00 states/eV per cell.

***

magnetic moment of number 6 (K3RbZn4H12)? 0.0 μB/f.u.